Ba12Tl3Rh5 (PBE, optimized geometry); mass density = 5.21 Mg/m³; energy = -3.41 eV/atom; D(E_F) = 85.70 states/eV per cell
1.0
-0.146 -16.571 -1.414
7.737 4.294 14.083
-15.630 5.676 0.309
Tl Rh Ba
12 20 48
Cartesian
0.838 -10.108 4.259
3.721 -10.569 9.363
-4.021 0.554 10.225
-4.931 -1.478 1.523
-3.068 -12.544 0.600
0.873 -2.111 8.349
-8.913 -4.490 4.629
-4.971 5.943 12.377
-3.109 -5.124 11.455
-4.018 -7.155 2.753
-11.761 3.968 3.614
-8.878 3.507 8.718
-1.025 0.958 5.181
3.868 2.147 7.041
0.000 0.000 0.000
-0.074 -4.431 3.029
-7.888 -5.448 -0.553
3.795 -6.138 6.334
-0.077 3.278 10.501
-12.819 -6.925 0.970
-1.135 -7.616 7.857
-10.810 -1.421 1.462
2.771 -5.181 11.516
-4.020 -3.301 6.489
-0.073 -8.285 -0.707
-7.815 2.838 0.154
-6.904 1.015 5.120
4.779 0.324 12.007
-3.947 4.985 7.196
-7.962 -9.879 2.476
-7.965 -2.170 9.948
-7.015 -7.559 7.796
0.419 -11.030 0.661
-2.356 -0.741 7.061
-1.800 -12.841 4.103
-0.327 -7.151 2.173
-5.261 -2.848 9.300
1.632 -12.598 7.021
-0.343 0.453 10.878
5.217 3.051 12.759
-3.166 -1.772 13.108
1.630 -8.131 7.329
-2.422 -8.969 5.687
6.516 -9.555 11.627
-2.767 4.061 9.916
1.733 -4.099 5.224
1.024 4.624 12.774
-8.415 -2.974 1.249
-1.817 0.487 2.472
3.743 -4.433 8.929
2.322 -7.995 11.785
1.730 0.356 5.676
-4.945 2.360 13.440
-1.763 -4.826 7.981
-1.987 -8.538 10.429
-11.905 -6.628 3.666
-6.277 -1.775 4.996
-6.053 1.936 2.548
3.866 0.027 9.311
-10.362 1.393 1.192
-3.095 -8.961 -0.463
-9.769 -6.957 7.302
-11.783 -2.168 4.048
0.376 -3.628 11.728
-6.223 -7.088 10.506
-9.064 -11.225 0.203
-5.272 -10.662 3.061
-14.556 2.954 1.350
-9.772 -2.502 7.754
-4.874 -4.829 -0.130
-9.670 1.530 5.648
-5.618 2.368 7.290
-13.256 -9.652 0.218
-7.696 -7.054 2.099
-7.713 0.550 10.804
-9.672 5.997 5.957
-2.778 -3.753 3.678
-6.239 6.240 8.874
-5.683 -5.860 5.916
-8.458 4.429 12.316

LaHo3Al2 (PBE, optimized geometry); mass density = 7.15 Mg/m³; D(E_F) = 4.40 states/eV per cell; offset from the most stable computed form = 0.0 meV per atom
1.0
-2.427 -0.952 -2.399
1.756 -3.023 -0.577
-6.790 -5.687 9.127
La Ho Al
1 3 2
Cartesian
-3.731 -4.831 3.075
0.000 0.000 0.000
-4.819 -4.036 6.478
-1.971 -1.651 2.649
-6.130 -6.840 6.300
-1.332 -2.822 -0.149

Mg2Cu7Sb2Au (PBE, optimized geometry); mass density = 7.58 Mg/m³; D(E_F) = 4.52 states/eV per cell; E_form (uncorrected) = 4 kJ/mol of atoms
1.0
3.619 -0.005 -0.003
0.000 3.619 -0.003
1.793 1.791 15.617
Mg Cu Sb Au
2 7 2 1
Cartesian
3.598 3.594 11.537
1.813 1.811 4.075
1.809 1.807 -0.003
1.807 1.805 7.066
3.604 3.600 8.546
3.624 1.810 2.009
1.814 3.622 2.009
3.597 1.783 13.603
1.787 3.595 13.603
3.616 3.612 5.927
1.795 1.793 9.685
0.000 0.000 0.000

- Among the records above, which one has the lowest D(E_F)?
  LaHo3Al2